[1]
Density functional theory data (PBE-GGA) for crystalline CaZr2Be at its relaxed geometry.

extended XYZ file:
```
4
Lattice="-3.7807 -9.0582 0.1767 -3.2253 -8.7408 -3.0936 -0.7655 -9.7281 -1.0739" Properties=species:S:1:pos:R:3 pbc="T T T"
Be -1.9429 -6.8818 -0.9977
Ca -5.8286 -20.6453 -2.9931
Zr -7.5946 -26.9005 -3.9000
Zr -4.0626 -14.3901 -2.0862
```

Properties
VASP energy   -5.40 eV per atom
Space group   No. 166
ΔH_f (0 K)   0.311 eV per atom

***

[2]
Density functional theory data (PBE-GGA) for crystalline Cs2Ca2TcO6 at its relaxed geometry.

extended XYZ file:
```
11
Lattice="-1.0601 5.0725 2.6774 -3.4467 -1.6497 -4.4070 -2.6635 -4.3235 4.9997" Properties=species:S:1:pos:R:3 pbc="T T T"
Cs -1.4622 3.9398 1.4837
Cs -3.0445 -0.5170 -3.2133
Ca -3.9773 -1.5549 0.4710
Ca -3.1930 0.6542 2.7992
Tc -1.3317 -2.1617 2.4999
O -5.2465 -0.2023 1.9595
O -2.9508 -3.1405 1.9469
O -1.9238 -0.6983 1.3107
O -2.2726 -1.2303 3.9600
O -4.2195 2.2398 1.3232
O -4.8977 0.3296 -0.6899
```

Properties
VASP energy   -6.14 eV per atom
Space group   No. 12

***

[3]
Density functional theory data (PBE-GGA) for crystalline Ba2HgRh at its relaxed geometry.

extended XYZ file:
```
4
Lattice="-5.0866 6.0402 4.0432 -6.8709 2.0551 5.2223 -3.2450 3.6450 7.4087" Properties=species:S:1:pos:R:3 pbc="T T T"
Ba -11.1374 8.6009 12.2156
Ba -4.0652 3.1394 4.4587
Hg -7.6013 5.8701 8.3372
Rh 0.0000 0.0000 0.0000
```

Properties
VASP energy   -3.09 eV per atom
Space group   No. 166
ΔH_f (0 K)   -0.211 eV per atom

***

[4]
Density functional theory data (PBE-GGA) for crystalline Cu4PtAu at its relaxed geometry.

extended XYZ file:
```
6
Lattice="-1.4516 -0.4621 2.3300 2.9719 -1.2319 1.6076 1.7496 7.5985 2.5987" Properties=species:S:1:pos:R:3 pbc="T T T"
Cu 2.5341 -0.1997 3.2021
Cu 0.7358 6.1043 3.3341
Cu 2.0433 1.8225 1.6352
Cu 1.2266 4.0821 4.9010
Pt 1.4860 -0.6159 0.8038
Au 0.1490 3.5682 2.4643
```

Properties
VASP energy   -4.37 eV per atom
Space group   No. 47
ΔH_f (0 K)   -0.090 eV per atom
Polymorph energy (0 for the lowest one)   0.00 eV per formula unit

***

[5]
Density functional theory data (PBE-GGA) for crystalline BaEuZn2 at its relaxed geometry.

extended XYZ file:
```
4
Lattice="3.9357 0.0000 0.0000 0.0000 3.9357 0.0000 0.0000 0.0000 7.8144" Properties=species:S:1:pos:R:3 pbc="T T T"
Eu 1.9678 1.9678 0.0000
Zn 0.0000 0.0000 6.1395
Zn 0.0000 0.0000 1.6749
Ba 1.9678 1.9678 3.9072
```

Properties
VASP energy   -3.89 eV per atom
Space group   No. 123
ΔH_f (0 K)   -0.202 eV per atom
Polymorph energy (0 for the lowest one)   0.00 eV per formula unit

***

[6]
Density functional theory data (PBE-GGA) for crystalline Ba3SrPb at its relaxed geometry.

extended XYZ file:
```
5
Lattice="6.8664 0.0000 0.0000 0.0000 6.8664 0.0000 0.0000 0.0000 6.8664" Properties=species:S:1:pos:R:3 pbc="T T T"
Pb 0.0000 0.0000 0.0000
Sr 3.4332 3.4332 3.4332
Ba 0.0000 3.4332 0.0000
Ba 0.0000 0.0000 3.4332
Ba 3.4332 0.0000 0.0000
```

Properties
VASP energy   -2.34 eV per atom
Space group   No. 221
ΔH_f (0 K)   -0.104 eV per atom
Polymorph energy (0 for the lowest one)   0.00 eV per formula unit